Entry 1:
A plane-wave DFT calculation with GGA-PBE was carried out for an optimized crystal structure of TbPmAu.

Geometry as extended XYZ:
```
18
Lattice="8.438 0.000 0.000 0.000 3.880 0.000 -0.350 0.000 15.391" Properties=species:S:1:pos:R:3 pbc="T T T"
Tb 0.063 0.970 6.304
Tb 0.993 2.910 15.038
Tb 2.983 0.970 4.359
Tb 5.105 2.910 11.031
Tb 7.095 0.970 0.352
Tb 8.026 2.910 9.087
Pm -0.129 0.970 12.155
Pm 2.701 0.970 8.991
Pm 3.600 0.970 13.763
Pm 4.488 2.910 1.628
Pm 5.388 2.910 6.400
Pm 8.218 2.910 3.236
Au 1.891 0.970 1.692
Au 2.261 2.910 6.557
Au 2.148 2.910 11.527
Au 5.941 0.970 3.864
Au 5.828 0.970 8.833
Au 6.198 2.910 13.699
```

Properties
Final energy (eV per cell): -85.65
Total magnetic moment (μB per cell): 0.0
Energy above the lowest structure with this stoichiometry (meV/atom): 44.6
Energy of formation (eV/atom): -0.539
Density (g/cm3): 9.903



Entry 2:
A plane-wave DFT calculation with GGA-PBE was carried out for an optimized crystal structure of CeZnGa3.

Geometry as extended XYZ:
```
5
Lattice="-2.135 2.135 5.349 2.135 -2.135 5.349 2.135 2.135 -5.349" Properties=species:S:1:pos:R:3 pbc="T T T"
Ce 0.000 0.000 0.000
Zn 2.135 0.000 2.675
Ga 0.000 0.000 4.115
Ga 0.000 0.000 6.583
Ga 0.000 2.135 2.675
```

Properties
Final energy (eV per cell): -18.44
Total magnetic moment (μB per cell): 1.0
Energy of formation (eV/atom): -0.430
Density (g/cm3): 7.060



Entry 3:
A plane-wave DFT calculation with GGA-PBE was carried out for an optimized crystal structure of Pt2BrF2.

Geometry as extended XYZ:
```
10
Lattice="8.581 0.000 0.000 0.000 8.581 0.000 0.000 0.000 2.737" Properties=species:S:1:pos:R:3 pbc="T T T"
Pt 0.840 3.451 0.000
Pt 3.451 7.741 0.000
Pt 5.130 0.840 0.000
Pt 7.741 5.130 0.000
Br 0.000 0.000 0.000
Br 4.290 4.290 0.000
F 1.957 2.333 1.369
F 2.333 6.623 1.369
F 6.248 1.957 1.369
F 6.623 6.248 1.369
```

Properties
Final energy (eV per cell): -35.59
Total magnetic moment (μB per cell): 1.3
Energy above the lowest structure with this stoichiometry (meV/atom): 0.0
Energy relative to the elements, uncorrected (meV/atom): -59
Density (g/cm3): 8.372



Entry 4:
A plane-wave DFT calculation with GGA-PBE was carried out for an optimized crystal structure of Fe11Co5.

Geometry as extended XYZ:
```
16
Lattice="5.700 0.000 0.000 0.000 5.700 0.000 0.000 0.000 5.679" Properties=species:S:1:pos:R:3 pbc="T T T"
Fe 0.000 0.000 0.000
Fe 0.000 0.000 2.840
Fe 1.427 1.427 1.421
Fe 1.427 1.427 4.258
Fe 1.427 4.273 1.421
Fe 1.427 4.273 4.258
Fe 2.850 2.850 0.000
Fe 4.273 1.427 1.421
Fe 4.273 1.427 4.258
Fe 4.273 4.273 1.421
Fe 4.273 4.273 4.258
Co 0.000 2.850 0.000
Co 0.000 2.850 2.840
Co 2.850 0.000 0.000
Co 2.850 0.000 2.840
Co 2.850 2.850 2.840
```

Properties
Final energy (eV per cell): -129.36
Total magnetic moment (μB per cell): 36.9
Energy of formation (eV/atom): -0.046
Density (g/cm3): 8.180



Entry 5:
A plane-wave DFT calculation with GGA-PBE was carried out for an optimized crystal structure of Ta3SbP6O24.

Geometry as extended XYZ:
```
34
Lattice="4.418 2.550 7.566 -4.418 2.550 7.566 0.000 -5.101 7.566" Properties=species:S:1:pos:R:3 pbc="T T T"
Ta 0.000 0.000 0.000
Ta 0.000 0.000 4.894
Ta 0.000 0.000 16.250
Sb 0.000 0.000 11.302
P -1.339 -3.075 10.014
P -2.539 0.003 13.818
P -1.994 2.697 10.014
P 1.267 -2.201 13.818
P 3.333 0.378 10.014
P 1.272 2.198 13.818
O -0.384 -1.564 3.703
O -0.981 -3.889 8.753
O -1.601 -0.402 5.989
O -1.162 1.115 3.703
O -3.668 -1.031 14.120
O -2.878 2.794 8.753
O -0.498 -1.830 10.076
O 1.149 -1.185 5.989
O -1.755 -0.480 12.623
O 1.546 0.449 3.703
O -1.336 1.346 10.076
O 0.452 1.588 5.989
O -1.632 0.186 15.075
O -0.963 -1.245 17.422
O 1.293 -1.280 12.623
O 0.655 -1.507 15.075
O 1.834 0.483 10.076
O 0.462 1.760 12.623
O 2.727 -2.661 14.120
O -0.596 1.457 17.422
O 0.978 1.320 15.075
O 3.859 1.095 8.753
O 1.560 -0.212 17.422
O 0.941 3.692 14.120
```

Properties
Final energy (eV per cell): -271.96
Total magnetic moment (μB per cell): 0.0
Energy relative to the elements, uncorrected (meV/atom): -2377
Density (g/cm3): 4.008



Entry 6:
A plane-wave DFT calculation with GGA-PBE was carried out for an optimized crystal structure of ZnAs2Pt.

Geometry as extended XYZ:
```
4
Lattice="4.579 0.000 0.000 0.000 4.579 0.000 0.000 0.000 3.257" Properties=species:S:1:pos:R:3 pbc="T T T"
Zn 0.000 0.000 0.000
As 0.000 2.289 1.628
As 2.289 0.000 1.628
Pt 2.289 2.289 0.000
```

Properties
Final energy (eV per cell): -16.05
Total magnetic moment (μB per cell): 0.0
Energy of formation (eV/atom): 0.141
Density (g/cm3): 9.979



Entry 7:
A plane-wave DFT calculation with GGA-PBE was carried out for an optimized crystal structure of Tm4Cd2InPd.

Geometry as extended XYZ:
```
8
Lattice="2.578 1.488 8.367 -2.578 1.488 8.367 0.000 -2.977 8.367" Properties=species:S:1:pos:R:3 pbc="T T T"
Tm 0.000 0.000 2.965
Tm 0.000 0.000 9.290
Tm 0.000 0.000 15.810
Tm 0.000 0.000 22.135
Cd 0.000 0.000 6.168
Cd 0.000 0.000 18.932
In 0.000 0.000 12.550
Pd 0.000 0.000 0.000
```

Properties
Final energy (eV per cell): -31.58
Total magnetic moment (μB per cell): 0.0
Energy of formation (eV/atom): -0.492
Density (g/cm3): 9.671



Entry 8:
A plane-wave DFT calculation with GGA-PBE was carried out for an optimized crystal structure of LaVN3.

Geometry as extended XYZ:
```
10
Lattice="4.094 0.000 0.000 -2.047 3.546 0.000 0.000 0.000 8.237" Properties=species:S:1:pos:R:3 pbc="T T T"
La 0.000 2.364 2.059
La 2.047 1.182 6.178
V 0.000 0.000 0.000
V 0.000 0.000 4.119
N 0.000 0.000 2.059
N 0.000 0.000 6.178
N 0.000 2.364 4.480
N 0.000 2.364 7.876
N 2.047 1.182 0.361
N 2.047 1.182 3.758
```

Properties
Final energy (eV per cell): -78.84
Total magnetic moment (μB per cell): 0.4
Energy relative to the elements, uncorrected (meV/atom): -80
Density (g/cm3): 6.440



Entry 9:
A plane-wave DFT calculation with GGA-PBE was carried out for an optimized crystal structure of Zn5IrPd2.

Geometry as extended XYZ:
```
8
Lattice="-1.970 1.970 7.397 1.970 -1.970 7.397 1.970 1.970 -7.397" Properties=species:S:1:pos:R:3 pbc="T T T"
Zn 0.000 0.000 0.000
Zn 1.970 0.000 1.881
Zn 1.970 0.000 5.516
Zn 0.000 1.970 1.881
Zn 0.000 1.970 5.516
Ir 0.000 0.000 7.397
Pd 0.000 0.000 3.750
Pd 0.000 0.000 11.044
```

Properties
Final energy (eV per cell): -28.42
Total magnetic moment (μB per cell): 0.0
Energy of formation (eV/atom): -0.351
Density (g/cm3): 10.590



Entry 10:
A plane-wave DFT calculation with GGA-PBE was carried out for an optimized crystal structure of LiMgBe3.

Geometry as extended XYZ:
```
5
Lattice="4.531 0.000 0.000 0.000 4.531 0.000 0.000 0.000 4.531" Properties=species:S:1:pos:R:3 pbc="T T T"
Li 0.000 0.000 0.000
Mg 2.266 2.266 2.266
Be 0.000 2.266 2.266
Be 2.266 0.000 2.266
Be 2.266 2.266 0.000
```

Properties
Final energy (eV per cell): -8.31
Total magnetic moment (μB per cell): 0.0
Energy above the lowest structure with this stoichiometry (meV/atom): 452.3
Energy of formation (eV/atom): 1.275
Density (g/cm3): 1.040



Entry 11:
A plane-wave DFT calculation with GGA-PBE was carried out for an optimized crystal structure of NaInFe2Cl8.

Geometry as extended XYZ:
```
12
Lattice="4.271 -4.343 0.000 4.271 4.343 0.000 0.000 0.000 7.639" Properties=species:S:1:pos:R:3 pbc="T T T"
Na 0.000 0.000 0.000
In 0.000 0.000 3.819
Fe 4.271 0.000 1.869
Fe 4.271 0.000 5.770
Cl 1.800 0.000 1.994
Cl 1.800 0.000 5.644
Cl 4.271 1.662 3.819
Cl 4.271 1.561 0.000
Cl 4.271 -1.561 0.000
Cl 4.271 -1.662 3.819
Cl 6.741 0.000 1.994
Cl 6.741 0.000 5.644
```

Properties
Final energy (eV per cell): -47.13
Total magnetic moment (μB per cell): 8.0
Energy relative to the elements, uncorrected (meV/atom): -948
Density (g/cm3): 3.124



Entry 12:
A plane-wave DFT calculation with GGA-PBE was carried out for an optimized crystal structure of LiDyZn5Cu2.

Geometry as extended XYZ:
```
9
Lattice="4.598 0.000 0.000 0.000 4.598 0.000 0.000 0.000 7.315" Properties=species:S:1:pos:R:3 pbc="T T T"
Li 0.000 0.000 0.000
Dy 0.000 0.000 3.658
Zn 0.000 2.299 1.736
Zn 0.000 2.299 5.580
Zn 2.299 0.000 1.736
Zn 2.299 0.000 5.580
Zn 2.299 2.299 3.658
Cu 2.299 2.299 1.168
Cu 2.299 2.299 6.147
```

Properties
Final energy (eV per cell): -21.55
Total magnetic moment (μB per cell): 0.0
Energy of formation (eV/atom): -0.052
Density (g/cm3): 6.695



What is the formula in the fifth record?
Ta3SbP6O24



What did the second record say?
A plane-wave DFT calculation with GGA-PBE was carried out for an optimized crystal structure of CeZnGa3.

Geometry as extended XYZ:
```
5
Lattice="-2.135 2.135 5.349 2.135 -2.135 5.349 2.135 2.135 -5.349" Properties=species:S:1:pos:R:3 pbc="T T T"
Ce 0.000 0.000 0.000
Zn 2.135 0.000 2.675
Ga 0.000 0.000 4.115
Ga 0.000 0.000 6.583
Ga 0.000 2.135 2.675
```

Properties
Final energy (eV per cell): -18.44
Total magnetic moment (μB per cell): 1.0
Energy of formation (eV/atom): -0.430
Density (g/cm3): 7.060